# CrCoPd3 PBE relaxed
# Energy above the most stable polymorph in this dataset, eV/f.u.: 0.00
data_CrCoPd3
_chemical_formula_sum 'Cr1 Co1 Pd3'
_cell_length_a 4.513
_cell_length_b 4.513
_cell_length_c 4.513
_cell_angle_alpha 90.00
_cell_angle_beta 90.00
_cell_angle_gamma 90.00
_symmetry_space_group_name_H-M 'P m -3 m'
_symmetry_Int_Tables_number 221
_symmetry_space_group_name_Hall '-P 4 2 3'
loop_
_atom_site_label
_atom_site_type_symbol
_atom_site_fract_x
_atom_site_fract_y
_atom_site_fract_z
_atom_site_occupancy
Cr1 Cr 0.000 0.000 0.000 1
Co1 Co 0.500 0.500 0.500 1
Pd1 Pd 0.000 0.500 0.500 1


# RbZrAlTl2 PBE relaxed
# Energy above the most stable polymorph in this dataset, eV/f.u.: 0.00
data_RbZrAlTl2
_chemical_formula_sum 'Rb1 Zr1 Al1 Tl2'
_cell_length_a 5.518
_cell_length_b 5.518
_cell_length_c 5.343
_cell_angle_alpha 90.00
_cell_angle_beta 90.00
_cell_angle_gamma 90.00
_symmetry_space_group_name_H-M 'P 4/m m m'
_symmetry_Int_Tables_number 123
_symmetry_space_group_name_Hall '-P 4 2'
loop_
_atom_site_label
_atom_site_type_symbol
_atom_site_fract_x
_atom_site_fract_y
_atom_site_fract_z
_atom_site_occupancy
Rb1 Rb 0.000 0.000 0.000 1
Zr1 Zr 0.500 0.500 0.000 1
Al1 Al 0.500 0.500 0.500 1
Tl1 Tl 0.000 0.500 0.500 1


The following is a DFT calculation (PBE) of crystalline CrPb at its relaxed geometry.

Geometry as CIF:
```
data_CrPb
_chemical_formula_sum 'Cr16 Pb16'
_cell_length_a 5.712
_cell_length_b 9.084
_cell_length_c 13.178
_cell_angle_alpha 90.00
_cell_angle_beta 90.00
_cell_angle_gamma 90.00
_symmetry_space_group_name_H-M 'F d d d'
_symmetry_Int_Tables_number 70
loop_
_symmetry_equiv_pos_as_xyz
'x,y,z'
'-x,-y,-z'
'-x+1/4,-y+1/4,z'
'x+1/4,y+1/4,-z'
'x,-y+1/4,-z+1/4'
'-x,y+1/4,z+1/4'
'-x+1/4,y,-z+1/4'
'x+1/4,-y,z+1/4'
'x,y+1/2,z+1/2'
'-x,-y+1/2,-z+1/2'
'-x+1/4,-y+3/4,z+1/2'
'x+1/4,y+3/4,-z+1/2'
'x,-y+3/4,-z+3/4'
'-x,y+3/4,z+3/4'
'-x+1/4,y+1/2,-z+3/4'
'x+1/4,-y+1/2,z+3/4'
'x+1/2,y,z+1/2'
'-x+1/2,-y,-z+1/2'
'-x+3/4,-y+1/4,z+1/2'
'x+3/4,y+1/4,-z+1/2'
'x+1/2,-y+1/4,-z+3/4'
'-x+1/2,y+1/4,z+3/4'
'-x+3/4,y,-z+3/4'
'x+3/4,-y,z+3/4'
'x+1/2,y+1/2,z'
'-x+1/2,-y+1/2,-z'
'-x+3/4,-y+3/4,z'
'x+3/4,y+3/4,-z'
'x+1/2,-y+3/4,-z+1/4'
'-x+1/2,y+3/4,z+1/4'
'-x+3/4,y+1/2,-z+1/4'
'x+3/4,-y+1/2,z+1/4'
loop_
_atom_site_label
_atom_site_type_symbol
_atom_site_fract_x
_atom_site_fract_y
_atom_site_fract_z
_atom_site_occupancy
Cr1 Cr 0.125 0.125 0.055 1
Pb1 Pb 0.125 0.297 0.625 1
```


Looking at energy of formation for the records above, in order, we have 1.28, 0.55, 0.85 eV/atom.